## NdIn2Pd8 (GGA-PBE)

Data for a relaxed structure of NdIn2Pd8.

Properties
**Energy of formation from the pure elements**: -0.456 eV per atom
**Volume**: 18.2 Å³ per atom
**Total magnetization**: 0.000 μB/atom
**DOS(E_F)**: 5.7 states/eV/f.u.

```
NdIn2Pd8
1.0
3.762 -7.145 0.000
3.762 7.145 0.000
-3.249 0.000 3.732
Nd In Pd
1 2 8
Cartesian
0.000 0.000 0.000
2.138 2.631 1.866
2.138 -2.631 1.866
-0.572 1.960 2.725
3.762 4.319 0.000
-0.572 -1.960 2.725
2.867 0.000 0.867
1.408 0.000 2.865
4.847 1.960 1.007
3.762 -4.319 0.000
4.847 -1.960 1.007
```

---

## NdIn6Pd4 (GGA-PBE)

Data for a relaxed structure of NdIn6Pd4.

Properties
**Energy of formation from the pure elements**: -0.516 eV per atom
**Volume**: 21.3 Å³ per atom
**Total magnetization**: 0.000 μB/atom
**DOS(E_F)**: 6.5 states/eV/f.u.

```
NdIn6Pd4
1.0
7.878 0.000 0.000
-3.939 6.823 0.000
0.000 0.000 4.352
Nd In Pd
1 6 4
Cartesian
0.000 0.000 0.000
-1.562 3.646 0.000
2.293 1.324 2.176
1.562 3.646 0.000
0.000 6.353 0.000
5.586 1.324 2.176
3.939 4.175 2.176
0.000 2.793 2.176
-1.520 5.426 2.176
1.520 5.426 2.176
3.939 2.274 0.000
```

---

## NdInPd2 (GGA-PBE)

Data for a relaxed structure of NdInPd2.

Properties
**Energy of formation from the pure elements**: -0.619 eV per atom
**Volume**: 21.0 Å³ per atom
**Total magnetization**: 0.000 μB/atom
**DOS(E_F)**: 2.2 states/eV/f.u.

```
NdInPd2
1.0
3.521 0.000 0.000
0.000 3.521 0.000
0.000 0.000 6.764
Nd In Pd
1 1 2
Cartesian
0.000 0.000 0.000
0.000 0.000 3.382
1.760 1.760 1.906
1.760 1.760 4.859
```

---

## Nd3In3Pd2 (GGA-PBE)

Data for a relaxed structure of Nd3In3Pd2.

Properties
**Energy of formation from the pure elements**: -0.634 eV per atom
**Volume**: 25.6 Å³ per atom
**Total magnetization**: 0.000 μB/atom
**DOS(E_F)**: 6.0 states/eV/f.u.

```
Nd3In3Pd2
1.0
8.487 0.000 0.000
0.000 16.735 0.000
0.000 0.000 5.759
Nd In Pd
12 12 8
Cartesian
0.295 1.854 0.666
0.295 6.513 0.666
1.414 4.184 3.701
2.829 12.551 0.821
3.948 10.222 3.546
3.948 14.881 3.546
4.538 1.854 2.213
4.538 6.513 2.213
5.658 4.184 4.938
7.072 12.551 2.058
8.192 10.222 5.093
8.192 14.881 5.093
1.494 12.551 3.715
1.561 0.563 3.486
1.561 7.805 3.486
2.682 8.930 0.607
2.682 16.172 0.607
2.749 4.184 0.835
5.737 12.551 4.924
5.804 0.563 5.153
5.804 7.805 5.153
6.926 8.930 2.273
6.926 16.172 2.273
6.993 4.184 2.045
0.863 10.299 2.186
0.863 14.803 2.186
3.381 1.932 5.066
3.381 6.435 5.066
5.106 10.299 0.694
5.106 14.803 0.694
7.624 1.932 3.573
7.624 6.435 3.573
```

---

## NdInPd4 (GGA-PBE)

Data for a relaxed structure of NdInPd4.

Properties
**Energy of formation from the pure elements**: -0.249 eV per atom
**Volume**: 22.5 Å³ per atom
**Total magnetization**: 0.000 μB/atom
**DOS(E_F)**: 3.5 states/eV/f.u.

```
NdInPd4
1.0
5.421 0.000 0.000
0.000 5.421 0.000
0.000 0.000 9.180
Nd In Pd
2 2 8
Cartesian
1.355 4.066 2.295
4.066 1.355 6.885
1.355 4.066 6.885
4.066 1.355 2.295
0.081 1.355 0.091
1.355 0.081 4.681
1.355 2.630 4.681
2.630 1.355 0.091
2.792 4.066 9.089
4.066 2.792 4.499
4.066 5.340 4.499
5.340 4.066 9.089
```

---

## NdIn2Pd (GGA-PBE)

Data for a relaxed structure of NdIn2Pd.

Properties
**Energy of formation from the pure elements**: -0.630 eV per atom
**Volume**: 23.5 Å³ per atom
**Total magnetization**: 0.000 μB/atom
**DOS(E_F)**: 2.6 states/eV/f.u.

```
NdIn2Pd
1.0
17.171 0.000 0.000
0.000 7.521 0.000
0.000 0.000 5.830
Nd In Pd
8 16 8
Cartesian
1.828 1.880 1.317
2.487 5.641 2.745
6.099 1.880 5.660
6.758 5.641 4.232
10.414 1.880 1.598
11.072 5.641 0.170
14.685 1.880 3.085
15.343 5.641 4.513
0.560 0.362 4.287
0.560 3.399 4.287
3.704 4.138 5.633
3.704 7.144 5.633
4.882 0.378 2.718
4.882 3.383 2.718
8.026 4.123 1.372
8.026 7.159 1.372
9.145 0.362 4.457
9.145 3.399 4.457
12.289 4.138 3.112
12.289 7.144 3.112
13.468 0.378 0.197
13.468 3.383 0.197
16.612 4.123 1.543
16.612 7.159 1.543
1.269 5.641 5.793
2.936 1.880 4.176
5.650 5.641 1.261
7.317 1.880 2.878
9.854 5.641 2.952
11.521 1.880 4.569
14.235 5.641 1.654
15.902 1.880 0.037
```

---

## NdIn6Pd3 (GGA-PBE)

Data for a relaxed structure of NdIn6Pd3.

Properties
**Energy of formation from the pure elements**: -0.453 eV per atom
**Volume**: 22.1 Å³ per atom
**Total magnetization**: 0.000 μB/atom
**DOS(E_F)**: 3.5 states/eV/f.u.

```
NdIn6Pd3
1.0
9.264 0.000 0.000
0.000 4.609 0.000
-1.607 0.000 10.345
Nd In Pd
2 12 6
Cartesian
0.301 1.152 2.672
7.356 3.457 7.673
-0.073 1.152 6.309
1.305 3.457 0.386
1.462 3.457 7.912
2.768 3.457 3.080
2.726 1.152 5.094
2.689 1.152 9.360
4.968 3.457 0.984
4.931 3.457 5.251
4.889 1.152 7.264
6.195 1.152 2.433
6.352 1.152 9.959
7.730 3.457 4.036
-0.102 1.152 9.168
0.950 3.457 5.168
3.347 1.152 1.580
4.310 3.457 8.765
6.707 1.152 5.177
7.759 3.457 1.176
```

---

## Nd2InPd3 (GGA-PBE)

Data for a relaxed structure of Nd2InPd3.

Properties
**Energy of formation from the pure elements**: -0.595 eV per atom
**Volume**: 23.7 Å³ per atom
**Total magnetization**: 0.000 μB/atom
**DOS(E_F)**: 4.1 states/eV/f.u.

```
Nd2InPd3
1.0
-2.333 2.812 5.429
2.333 -2.812 5.429
2.333 2.812 -5.429
Nd In Pd
2 1 3
Cartesian
0.000 0.000 1.996
0.000 0.000 8.863
0.000 0.000 5.429
2.333 0.000 0.000
2.333 0.000 4.007
0.000 2.812 1.423
```

---

## Nd3In7Pd4 (GGA-PBE)

Data for a relaxed structure of Nd3In7Pd4.

Properties
**Energy of formation from the pure elements**: -0.623 eV per atom
**Volume**: 23.1 Å³ per atom
**Total magnetization**: 0.000 μB/atom
**DOS(E_F)**: 7.6 states/eV/f.u.

```
Nd3In7Pd4
1.0
8.464 -2.269 0.000
8.464 2.269 0.000
-5.725 0.000 8.408
Nd In Pd
3 7 4
Cartesian
0.000 0.000 0.000
3.510 0.000 2.554
7.693 0.000 5.853
-2.863 0.000 4.204
0.268 0.000 3.599
-0.184 0.000 8.144
4.295 0.000 6.021
6.908 0.000 2.387
11.387 0.000 0.264
10.934 0.000 4.809
-2.799 0.000 7.077
1.581 0.000 6.099
9.622 0.000 2.308
14.002 0.000 1.330
```

---

## Nd8In2Pd (GGA-PBE)

Data for a relaxed structure of Nd8In2Pd.

Properties
**Energy of formation from the pure elements**: -0.295 eV per atom
**Volume**: 31.3 Å³ per atom
**Total magnetization**: 0.000 μB/atom
**DOS(E_F)**: 11.5 states/eV/f.u.

```
Nd8In2Pd
1.0
9.678 -2.620 0.000
9.678 2.620 0.000
-1.627 0.000 6.785
Nd In Pd
8 2 1
Cartesian
-0.131 0.000 1.867
2.737 0.000 5.453
5.941 0.000 3.529
7.838 0.000 0.255
9.892 0.000 6.530
11.788 0.000 3.255
14.992 0.000 1.332
17.860 0.000 4.917
3.166 0.000 1.692
14.563 0.000 5.093
8.865 0.000 3.392
```

---

## NdIn3Pd2 (GGA-PBE)

Data for a relaxed structure of NdIn3Pd2.

Properties
**Energy of formation from the pure elements**: -0.547 eV per atom
**Volume**: 22.2 Å³ per atom
**Total magnetization**: 0.000 μB/atom
**DOS(E_F)**: 2.8 states/eV/f.u.

```
NdIn3Pd2
1.0
4.972 -4.511 0.000
4.972 4.511 0.000
0.000 0.000 5.941
Nd In Pd
2 6 4
Cartesian
4.972 3.491 4.456
4.972 -3.491 1.485
3.365 2.406 1.485
6.578 2.406 1.485
4.972 0.285 4.456
4.972 -0.285 1.485
3.365 -2.406 4.456
6.578 -2.406 4.456
2.634 0.000 0.000
2.634 0.000 2.970
7.310 0.000 0.000
7.310 0.000 2.970
```

---

## Nd2InPd9 (GGA-PBE)

Data for a relaxed structure of Nd2InPd9.

Properties
**Energy of formation from the pure elements**: -0.503 eV per atom
**Volume**: 19.0 Å³ per atom
**Total magnetization**: 0.000 μB/atom
**DOS(E_F)**: 8.1 states/eV/f.u.

```
Nd2InPd9
1.0
2.696 1.557 9.053
-2.696 1.557 9.053
0.000 -3.113 9.053
Nd In Pd
2 1 9
Cartesian
0.000 0.000 3.675
0.000 0.000 23.483
0.000 0.000 0.000
-1.359 -0.784 11.352
0.000 0.000 9.050
0.000 -1.569 15.806
-1.359 0.784 15.806
0.000 0.000 13.579
1.359 -0.784 11.352
0.000 1.569 11.352
0.000 0.000 18.109
1.359 0.784 15.806
```

---

- The highest DOS(E_F) belongs to which entry?
  Nd8In2Pd

---

- Look up the total magnetization of the ninth one.
  0.000 μB/atom

---

- volume of number 3 (NdInPd2)?
  21.0 Å³ per atom